[1]
## ZrIr2Cl (PBE)

Data for a geometry-optimized ZrIr2Cl structure.

Values from the calculation:
* formation energy (no corrections): 0.23 eV per atom
* E: -6.798 eV per atom
* energy above the lowest structure with this stoichiometry: 542 meV/atom

Unit cell a=5.553 b=5.553 c=2.961 alpha=90.00 beta=90.00 gamma=127.40
Atoms (fractional coordinates):
Zr 0.500 0.000 0.500
Ir 0.500 0.500 0.000
Ir 0.000 0.000 0.000
Cl 0.000 0.500 0.500

***

[2]
## Pm8As3AuSe4 (PBE)

Data for a geometry-optimized Pm8As3AuSe4 structure.

Values from the calculation:
* formation energy (no corrections): -1.62 eV per atom
* E: -5.939 eV per atom

Unit cell a=8.453 b=8.468 c=8.453 alpha=119.94 beta=120.00 gamma=90.00
Atoms (fractional coordinates):
Se 0.000 0.000 0.500
Se 0.500 0.000 0.000
Se 0.500 0.000 0.500
Se 0.000 0.000 0.000
Pm 0.252 0.746 0.503
Pm 0.748 0.254 0.497
Pm 0.743 0.746 0.995
Pm 0.746 0.739 0.492
Pm 0.748 0.254 0.005
Pm 0.257 0.254 0.005
Pm 0.254 0.261 0.508
Pm 0.252 0.746 0.995
As 0.000 0.500 0.500
As 0.500 0.500 0.500
As 0.500 0.500 0.000
Au 0.000 0.500 0.000

***

[3]
## Pr3TePtCl (PBE)

Data for a geometry-optimized Pr3TePtCl structure.

Values from the calculation:
* formation energy (no corrections): -1.23 eV per atom
* E: -5.458 eV per atom

Unit cell a=4.338 b=8.651 c=9.767 alpha=102.99 beta=90.00 gamma=90.00
Atoms (fractional coordinates):
Pr 0.750 0.887 0.112
Pr 0.250 0.113 0.888
Pr 0.250 0.557 0.839
Pr 0.250 0.726 0.478
Pr 0.750 0.274 0.522
Pr 0.750 0.443 0.161
Pt 0.750 0.332 0.851
Pt 0.250 0.668 0.149
Te 0.750 0.810 0.755
Te 0.250 0.190 0.245
Cl 0.750 0.910 0.402
Cl 0.250 0.090 0.598

***

- Number 3 is which compound?
  Pr3TePtCl

***

- Among the records above, which one has the lowest E?
  ZrIr2Cl

***

- What is the formation energy (no corrections) in the third record?
  -1.23 eV per atom

***

Repeat the first record exactly.
## ZrIr2Cl (PBE)

Data for a geometry-optimized ZrIr2Cl structure.

Values from the calculation:
* formation energy (no corrections): 0.23 eV per atom
* E: -6.798 eV per atom
* energy above the lowest structure with this stoichiometry: 542 meV/atom

Unit cell a=5.553 b=5.553 c=2.961 alpha=90.00 beta=90.00 gamma=127.40
Atoms (fractional coordinates):
Zr 0.500 0.000 0.500
Ir 0.500 0.500 0.000
Ir 0.000 0.000 0.000
Cl 0.000 0.500 0.500